# 1
A geometry-optimized HoCr5C4 structure, computed with PBE-GGA.

The value obtained for the energy of formation from the pure elements is 1.16 eV per formula unit. The magnetization comes out at 0.80 μB per formula unit.

It has space group Immm (No. 71), with a = 3.096 Å, b = 5.843 Å, c = 11.854 Å, α = 90.00°, β = 90.00° and γ = 90.00°. The distinct sites, in fractional coordinates, are Ho at (0.000, 0.000, 0.000), Cr at (0.000, 0.261, 0.329), Cr at (0.000, 0.500, 0.000), C at (0.000, 0.000, 0.209) and C at (0.000, 0.210, 0.500).



# 2
A geometry-optimized YHf2Zr2 structure, computed with PBE-GGA.

The energy above the lowest structure with this stoichiometry is 0.027 eV/atom. The value obtained for the energy of formation from the pure elements is 0.72 eV per formula unit. The magnetization comes out at 0.00 μB per formula unit.

It has space group P4/mbm (No. 127), with a = 8.439 Å, b = 8.439 Å, c = 3.491 Å, α = 90.00°, β = 90.00° and γ = 90.00°. The distinct sites, in fractional coordinates, are Y at (0.000, 0.000, 0.000), Hf at (0.164, 0.336, 0.500) and Zr at (0.129, 0.629, 0.000).